No. 1
This record from the Alexandria database describes a relaxed structure of SmCoGe2Ir. The functional is PBE-GGA.

Symmetry: I-4m2, No. 119
Calculated formation energy: -0.68 eV per atom
Magnetic moment: 0.00 Bohr magnetons per cell

```
SmCoGe2Ir
1.0
-1.818 2.878 -2.254
-3.376 -0.356 2.269
4.390 2.411 3.236
Sm Ge Ir Co
1 2 1 1
direct
0.000 0.000 0.000 Sm
0.625 0.625 0.249 Ge
0.375 0.375 0.751 Ge
0.250 0.750 0.500 Ir
0.750 0.250 0.500 Co
```

No. 2
This record from the Alexandria database describes a relaxed structure of Sm2CoGe4Ir3. The functional is PBE-GGA.

Symmetry: P-4m2, No. 115
Calculated formation energy: -0.70 eV per atom
Magnetic moment: 0.00 Bohr magnetons per cell

```
Sm2CoGe4Ir3
1.0
4.223 0.000 0.000
0.000 4.223 0.000
0.000 0.000 10.136
Ge Sm Ir Co
4 2 3 1
direct
0.000 0.500 0.373 Ge
0.000 0.000 0.000 Ge
0.500 0.500 0.000 Ge
0.500 0.000 0.627 Ge
0.500 0.000 0.249 Sm
0.000 0.500 0.751 Sm
0.000 0.000 0.500 Ir
0.000 0.500 0.131 Ir
0.500 0.000 0.869 Ir
0.500 0.500 0.500 Co
```

No. 3
This record from the Alexandria database describes a relaxed structure of TbCoGe2Ir. The functional is PBE-GGA.

Symmetry: I-4m2, No. 119
Calculated formation energy: -0.68 eV per atom
Magnetic moment: 0.00 Bohr magnetons per cell

```
TbCoGe2Ir
1.0
4.059 0.000 0.000
0.000 4.059 0.000
-2.030 -2.030 5.172
Ge Tb Co Ir
2 1 1 1
direct
0.623 0.623 0.246 Ge
0.377 0.377 0.754 Ge
0.000 0.000 0.000 Tb
0.250 0.750 0.500 Co
0.750 0.250 0.500 Ir
```

Repeat the first record exactly.
This record from the Alexandria database describes a relaxed structure of SmCoGe2Ir. The functional is PBE-GGA.

Symmetry: I-4m2, No. 119
Calculated formation energy: -0.68 eV per atom
Magnetic moment: 0.00 Bohr magnetons per cell

```
SmCoGe2Ir
1.0
-1.818 2.878 -2.254
-3.376 -0.356 2.269
4.390 2.411 3.236
Sm Ge Ir Co
1 2 1 1
direct
0.000 0.000 0.000 Sm
0.625 0.625 0.249 Ge
0.375 0.375 0.751 Ge
0.250 0.750 0.500 Ir
0.750 0.250 0.500 Co
```

Question: Which formula does entry 3 have?
Answer: TbCoGe2Ir

Question: What is the magnetic moment in the first record?
Answer: 0.00 Bohr magnetons per cell